TbThFeCo: optimized geometry, PBE.

Results
For the raw total energy, the calculation gives -6.904 eV/atom. The theoretical density comes out at 10.57 Mg/m³. For the total magnetization, the calculation gives 0.92 μB/f.u. For the formation energy, the calculation gives 0.001 eV per atom. Its space-group type is No. 216.

Structure (POSCAR):
```
TbThFeCo
1.0
-4.135 -2.020 -1.450
-0.032 -2.966 -3.805
-0.727 -4.728 0.632
Co Tb Fe Th
1 1 1 1
Cartesian
-1.223 -2.429 -1.156
0.000 0.000 0.000
-3.670 -7.286 -3.467
-2.447 -4.857 -2.312
```

***

Sr2LiBe: optimized geometry, PBE.

Results
For the raw total energy, the calculation gives -1.705 eV/atom. The theoretical density comes out at 2.22 Mg/m³. For the total magnetization, the calculation gives 0.00 μB/f.u. For the formation energy, the calculation gives 0.546 eV per atom. Its space-group type is No. 122.

Structure (POSCAR):
```
Sr2LiBe
1.0
-6.441 -0.810 -5.991
-4.709 -4.818 5.714
-7.146 0.235 1.138
Sr Li Be
4 2 2
Cartesian
-6.662 -1.083 -2.988
-5.274 -3.021 3.350
-9.350 -1.739 0.518
-15.306 -4.944 0.843
-5.575 -2.814 -0.138
-8.715 -3.699 3.357
0.000 0.000 0.000
-9.581 -1.695 -2.496
```

***

Ac5Bi3Se12: optimized geometry, PBE.

Results
For the raw total energy, the calculation gives -4.728 eV/atom. The theoretical density comes out at 6.31 Mg/m³. For the total magnetization, the calculation gives 0.00 μB/f.u. Its space-group type is No. 230. The calculation puts the formation energy from raw total energies at -23.71 kcal/mol of atoms.

Structure (POSCAR):
```
Ac5Bi3Se12
1.0
15.471 0.000 0.000
-5.157 14.587 0.000
-5.157 -7.293 12.632
Bi Ac Se
12 20 48
Cartesian
9.025 4.558 1.579
9.025 10.028 1.579
-1.289 6.382 7.895
1.289 -0.912 4.737
11.604 0.000 3.158
1.289 7.293 3.158
3.868 0.000 9.474
-6.446 7.293 9.474
3.868 8.205 7.895
6.446 0.912 4.737
-3.868 -2.735 11.053
-3.868 2.735 11.053
-1.289 3.647 3.158
-2.579 7.293 0.000
0.000 0.000 0.000
3.868 2.735 1.579
5.157 -3.647 6.316
5.157 7.293 0.000
-3.868 8.205 4.737
6.446 -4.558 11.053
6.446 6.382 4.737
1.289 -3.647 9.474
3.868 10.940 3.158
2.579 3.647 6.316
7.736 0.000 0.000
-2.579 -3.647 6.316
-1.289 0.912 7.895
-1.289 11.852 1.579
-5.157 3.647 6.316
9.025 -0.912 7.895
1.289 4.558 11.053
6.446 3.647 9.474
10.393 1.406 0.729
-0.079 4.981 5.463
11.268 3.517 3.376
6.782 2.481 1.582
2.139 5.765 8.527
10.749 7.002 2.211
-0.954 8.329 4.958
-4.204 12.105 1.582
0.440 8.822 8.527
7.301 7.585 2.211
7.657 3.719 4.734
7.657 13.180 0.729
-4.717 6.621 7.045
3.013 5.524 1.358
-5.078 10.868 4.734
2.500 -2.312 7.170
-0.440 0.856 2.940
3.013 9.354 0.853
6.782 11.070 3.376
-0.435 5.233 0.853
-3.019 8.149 9.692
3.532 6.258 4.958
7.296 7.966 7.045
5.592 -1.769 11.275
1.625 1.036 7.674
-2.139 -0.673 5.587
-0.435 9.063 1.358
-1.625 -3.776 9.256
8.176 -0.856 2.940
5.592 2.061 11.779
2.144 -2.061 11.779
2.657 9.606 5.463
5.597 6.437 9.692
10.236 -3.575 7.898
9.874 0.673 5.587
-2.500 -5.887 11.904
2.144 1.769 11.275
4.717 -1.528 4.105
-2.144 -0.291 10.421
-2.500 3.575 7.898
9.361 -4.812 11.050
6.111 -1.036 7.674
-1.625 4.812 11.050
-5.592 0.291 10.421
3.019 1.528 4.105
-6.111 3.776 9.256
5.236 2.312 7.170
-5.236 5.887 11.904
```

***

BaIrSeN2: optimized geometry, PBE.

Results
For the raw total energy, the calculation gives -4.308 eV/atom. The theoretical density comes out at 6.68 Mg/m³. For the total magnetization, the calculation gives 2.57 μB/f.u. Its space-group type is No. 123. The calculation puts the formation energy from raw total energies at 43.27 kcal/mol of atoms.

Structure (POSCAR):
```
BaIrSeN2
1.0
-1.656 -1.567 3.365
0.676 -6.047 -2.483
3.689 -0.279 1.685
Ir Ba Se N
1 1 1 2
Cartesian
1.354 -3.946 1.284
0.338 -3.023 -1.241
0.000 0.000 0.000
1.844 -0.140 0.842
-0.828 -0.783 1.683
```

***

LiIn2Sb: optimized geometry, PBE.

Results
For the raw total energy, the calculation gives -3.038 eV/atom. The theoretical density comes out at 6.03 Mg/m³. For the total magnetization, the calculation gives 0.00 μB/f.u. Its space-group type is No. 123. The calculation puts the formation energy from raw total energies at -3.68 kcal/mol of atoms.

Structure (POSCAR):
```
LiIn2Sb
1.0
4.473 0.000 0.000
0.000 4.473 0.000
0.000 0.000 4.927
Sb Li In
1 1 2
Cartesian
0.000 2.237 2.464
2.237 0.000 2.464
0.000 0.000 0.000
2.237 2.237 0.000
```

***

SrTaNF2: optimized geometry, PBE.

Results
For the raw total energy, the calculation gives -6.850 eV/atom. The theoretical density comes out at 6.86 Mg/m³. For the total magnetization, the calculation gives 1.07 μB/f.u. Its space-group type is No. 123. The calculation puts the formation energy from raw total energies at -39.89 kcal/mol of atoms.

Structure (POSCAR):
```
SrTaNF2
1.0
-0.900 -4.251 -0.316
0.783 -0.483 4.259
-3.931 0.772 0.810
Sr N F Ta
1 1 2 1
Cartesian
-2.024 -1.981 2.376
-1.966 0.386 0.405
0.391 -0.241 2.129
-0.450 -2.126 -0.158
0.000 0.000 0.000
```

***

Gd2TcAs: optimized geometry, PBE.

Results
For the raw total energy, the calculation gives -11.251 eV/atom. The theoretical density comes out at 9.40 Mg/m³. For the total magnetization, the calculation gives 13.73 μB/f.u. For the formation energy, the calculation gives -0.456 eV per atom. Its space-group type is No. 123.

Structure (POSCAR):
```
Gd2TcAs
1.0
-1.152 -3.527 0.222
3.028 -1.212 -3.538
3.430 -0.916 3.249
As Gd Tc
1 2 1
Cartesian
-0.576 -1.764 0.111
1.715 -0.458 1.625
1.514 -0.606 -1.769
2.653 -2.828 -0.034
```

***

Tm2Sc2S3: optimized geometry, PBE.

Results
For the raw total energy, the calculation gives -6.375 eV/atom. The theoretical density comes out at 5.60 Mg/m³. For the total magnetization, the calculation gives 0.00 μB/f.u. Its space-group type is No. 12. The calculation puts the formation energy from raw total energies at -35.04 kcal/mol of atoms.

Structure (POSCAR):
```
Tm2Sc2S3
1.0
3.485 0.000 1.065
1.498 6.683 1.333
-0.101 -0.554 6.567
Tm Sc S
2 2 3
Cartesian
2.128 0.516 5.509
2.755 5.613 3.456
3.117 2.228 2.272
1.766 3.901 6.693
0.000 0.000 0.000
3.979 4.748 5.687
0.904 1.381 3.278
```

***

NdHo2Ru2: optimized geometry, PBE.

Results
For the raw total energy, the calculation gives -6.670 eV/atom. The theoretical density comes out at 8.82 Mg/m³. For the total magnetization, the calculation gives 0.00 μB/f.u. For the formation energy, the calculation gives -0.175 eV per atom. Its space-group type is No. 11.

Structure (POSCAR):
```
NdHo2Ru2
1.0
-2.006 1.210 -3.735
-0.319 -5.023 -1.455
-9.582 2.463 5.945
Nd Ho Ru
2 4 4
Cartesian
-3.058 -2.939 -0.610
-8.849 1.589 1.365
-9.186 -1.670 3.092
-2.721 0.319 -2.338
-5.530 0.218 1.740
-6.377 -1.568 -0.985
-6.907 -2.452 1.615
-5.000 1.102 -0.860
-10.079 0.724 4.347
-1.828 -2.074 -3.592
```

***

SrCoTc: optimized geometry, PBE.

Results
For the raw total energy, the calculation gives -6.066 eV/atom. The theoretical density comes out at 6.62 Mg/m³. For the total magnetization, the calculation gives 1.16 μB/f.u. For the formation energy, the calculation gives 0.319 eV per atom. Its space-group type is No. 8.

Structure (POSCAR):
```
SrCoTc
1.0
-5.670 0.494 2.047
-2.492 -2.884 -1.836
0.913 -3.245 3.858
Sr Co Tc
2 2 2
Cartesian
-1.325 -4.371 1.653
-1.063 -1.068 0.982
-4.059 -2.401 2.269
-5.823 -3.009 0.744
-4.718 -4.839 2.120
-3.559 -4.094 4.250
```

***

LuPuCuPt: optimized geometry, PBE.

Results
For the raw total energy, the calculation gives -7.795 eV/atom. The theoretical density comes out at 13.59 Mg/m³. For the total magnetization, the calculation gives 5.42 μB/f.u. For the formation energy, the calculation gives -0.547 eV per atom. Its space-group type is No. 216.

Structure (POSCAR):
```
LuPuCuPt
1.0
-2.833 -2.789 2.850
1.883 -2.139 3.976
-1.280 1.563 4.456
Lu Cu Pt Pu
1 1 1 1
Cartesian
0.000 0.000 0.000
-1.673 -2.524 8.462
-0.558 -0.841 2.821
-1.115 -1.683 5.641
```

***

K6Rb9Au: optimized geometry, PBE.

Results
For the raw total energy, the calculation gives -1.195 eV/atom. The theoretical density comes out at 1.61 Mg/m³. For the total magnetization, the calculation gives 0.00 μB/f.u. For the formation energy, the calculation gives -0.034 eV per atom. Its space-group type is No. 87.

Structure (POSCAR):
```
K6Rb9Au
1.0
9.773 0.000 -5.411
-2.996 9.302 -5.411
0.622 0.854 12.656
K Rb Au
6 9 1
Cartesian
4.268 8.453 -8.787
2.509 0.849 -2.035
8.028 2.649 -6.457
-1.250 6.654 -4.364
6.062 8.321 -0.582
1.338 1.836 2.416
7.334 7.416 -5.282
2.038 5.447 -0.854
6.629 3.610 -1.999
2.743 9.254 -4.137
0.066 2.741 7.116
5.362 4.709 2.688
0.771 6.547 3.833
4.657 0.903 5.971
3.389 4.651 -5.411
0.000 0.000 0.000
```